# 1
DFT (PBE) results for a relaxed structure of H6PdRh2Pb.

Its volume is 96 Å³/f.u. Its total energy is -4.335 eV/atom.

The space group is C2/c (No. 15) and the conventional cell measures 7.744, 8.934 and 5.604 Å, with angles of 90.00, 99.52 and 90.00 degrees. Symmetry generates all atoms from H at (0.089, 0.073, 0.086), H at (0.149, 0.228, 0.684), H at (0.217, 0.461, 0.584), Pd at (0.000, 0.087, 0.750), Rh at (0.196, 0.384, 0.849) and Pb at (0.000, 0.331, 0.250).

---

# 2
DFT (PBE) results for a relaxed structure of BaPdI2O.

Its volume is 139 Å³/f.u. For the distance to the lowest polymorph of the same formula, the calculation gives 0.000 eV per atom.

The space group is P4/mmm (No. 123) and the conventional cell measures 5.736, 5.736 and 4.216 Å, with angles of 90.00, 90.00 and 90.00 degrees. Symmetry generates all atoms from Ba at (0.000, 0.000, 0.000), Pd at (0.500, 0.500, 0.500), I at (0.000, 0.500, 0.500) and O at (0.500, 0.500, 0.000).

---

# 3
DFT (PBE) results for a relaxed structure of SrLiMg2.

Its volume is 122 Å³/f.u. For the distance to the lowest polymorph of the same formula, the calculation gives 0.197 eV per atom. As for the energy relative to the elements: 0.158 eV per atom.

The space group is R-3m (No. 166, hexagonal axes) and the conventional cell measures 3.9193, 3.9193 and 27.4715 Å, with angles of 90.00, 90.00 and 120.00 degrees. Symmetry generates all atoms from Sr at (0.0000, 0.0000, 0.0000), Li at (0.0000, 0.0000, 0.5000) and Mg at (0.0000, 0.0000, 0.2319).

---

Number 1: total moment 0.00 μB per cell. Number 2: total moment 0.00 μB per cell. Number 3: total moment 0.00 μB per cell.